Entry 1:
VASP calculation (SCAN) on a crystal of La2SbTe relaxed with PBEsol.

Its uncorrected formation energy is -1.635 eV per atom. Its energy above the most stable polymorph in this dataset is 0.000 eV per atom. The calculation puts the calculated volume at 397.4 Å³ per cell.

The structure belongs to space group R-3m (No. 166, hexagonal axes); the cell edges are 4.5470, 4.5470 and 22.1971 Å and the angles 90.00°, 90.00° and 120.00°. The asymmetric unit holds La at (0.0000, 0.0000, 0.2478), Sb at (0.0000, 0.0000, 0.5000) and Te at (0.0000, 0.0000, 0.0000).

Entry 2:
VASP calculation (SCAN) on a crystal of YBe2Pt relaxed with PBEsol.

The energy of formation is -0.789 eV/atom. Its energy above the most stable polymorph in this dataset is 0.080 eV per atom. The calculation puts the calculated volume at 129.8 Å³ per cell.

The structure belongs to space group Cm (No. 8); the cell edges are 6.816, 3.931 and 5.327 Å and the angles 90.00°, 114.61° and 90.00°. The asymmetric unit holds Y at (0.000, 0.000, 0.000), Be at (0.189, 0.000, 0.568), Be at (0.485, 0.000, 0.456) and Pt at (0.306, 0.500, 0.419).

Entry 3:
VASP calculation (SCAN) on a crystal of Ba2MgHg relaxed with PBEsol.

The energy of formation is -0.345 eV/atom. Its energy above the most stable polymorph in this dataset is 0.024 eV per atom. The calculation puts the calculated volume at 286.3 Å³ per cell.

The structure belongs to space group Imm2 (No. 44); the cell edges are 4.012, 5.939 and 12.013 Å and the angles 90.00°, 90.00° and 90.00°. The asymmetric unit holds Ba at (0.000, 0.000, 0.000), Ba at (0.000, 0.500, 0.191), Mg at (0.000, 0.000, 0.410) and Hg at (0.000, 0.500, 0.740).

Entry 4:
VASP calculation (SCAN) on a crystal of Li3YHg relaxed with PBEsol.

The energy of formation is -0.026 eV/atom. The calculation puts the calculated volume at 113.2 Å³ per cell.

The structure belongs to space group Pm-3m (No. 221); the cell edges are 4.838, 4.838 and 4.838 Å and the angles 90.00°, 90.00° and 90.00°. The asymmetric unit holds Li at (0.000, 0.000, 0.500), Y at (0.500, 0.500, 0.500) and Hg at (0.000, 0.000, 0.000).

Entry 5:
VASP calculation (SCAN) on a crystal of SiTeN2F relaxed with PBEsol.

Its uncorrected formation energy is 1.986 eV per atom. Its energy above the most stable polymorph in this dataset is 1.778 eV per atom. The calculation puts the calculated volume at 71.6 Å³ per cell.

The structure belongs to space group P4/mmm (No. 123); the cell edges are 4.140, 4.140 and 4.178 Å and the angles 90.00°, 90.00° and 90.00°. The asymmetric unit holds Si at (0.000, 0.000, 0.000), Te at (0.500, 0.500, 0.000), N at (0.000, 0.500, 0.500) and F at (0.500, 0.500, 0.500).

Entry 6:
VASP calculation (SCAN) on a crystal of BaGa2Ni2 relaxed with PBEsol.

The energy of formation is -0.358 eV/atom. The calculation puts the calculated volume at 194.6 Å³ per cell.

The structure belongs to space group I4/mmm (No. 139); the cell edges are 4.167, 4.167 and 11.207 Å and the angles 90.00°, 90.00° and 90.00°. The asymmetric unit holds Ba at (0.000, 0.000, 0.000), Ga at (0.000, 0.000, 0.348) and Ni at (0.000, 0.500, 0.250).

Entry 7:
VASP calculation (SCAN) on a crystal of Cs3W2Cl9 relaxed with PBEsol.

Its uncorrected formation energy is -1.490 eV per atom. The calculation puts the calculated volume at 803.9 Å³ per cell.

The structure belongs to space group P6_3/mmc (No. 194); the cell edges are 7.2391, 7.2391 and 17.7142 Å and the angles 90.00°, 90.00° and 120.00°. The asymmetric unit holds Cs at (0.0000, 0.0000, 0.2500), Cs at (0.3333, 0.6667, 0.0713), W at (0.3333, 0.6667, 0.6724), Cl at (0.0078, 0.5039, 0.7500) and Cl at (0.1775, 0.3550, 0.5952).

Entry 8:
VASP calculation (SCAN) on a crystal of InCu2Tc relaxed with PBEsol.

The energy of formation is 0.281 eV/atom. The calculation puts the calculated volume at 113.4 Å³ per cell.

The structure belongs to space group Amm2 (No. 38); the cell edges are 4.140, 2.709 and 10.113 Å and the angles 90.00°, 90.00° and 90.00°. The asymmetric unit holds In at (0.000, 0.000, 0.000), Cu at (0.000, 0.000, 0.744), Cu at (0.500, 0.000, 0.618) and Tc at (0.500, 0.000, 0.348).

Entry 9:
VASP calculation (SCAN) on a crystal of TlTePtN2 relaxed with PBEsol.

Its uncorrected formation energy is 1.064 eV per atom. Its energy above the most stable polymorph in this dataset is 0.000 eV per atom. The calculation puts the calculated volume at 92.9 Å³ per cell.

The structure belongs to space group P4/mmm (No. 123); the cell edges are 4.072, 4.072 and 5.602 Å and the angles 90.00°, 90.00° and 90.00°. The asymmetric unit holds Tl at (0.000, 0.000, 0.000), Te at (0.500, 0.500, 0.000), Pt at (0.500, 0.500, 0.500) and N at (0.000, 0.500, 0.500).

Entry 10:
VASP calculation (SCAN) on a crystal of AlRuPb2 relaxed with PBEsol.

The energy of formation is 0.127 eV/atom. The calculation puts the calculated volume at 165.8 Å³ per cell.

The structure belongs to space group Amm2 (No. 38); the cell edges are 4.236, 3.946 and 9.919 Å and the angles 90.00°, 90.00° and 90.00°. The asymmetric unit holds Al at (0.000, 0.000, 0.000), Ru at (0.500, 0.000, 0.127), Pb at (0.000, 0.000, 0.717) and Pb at (0.500, 0.000, 0.417).

Entry 11:
VASP calculation (SCAN) on a crystal of TiSF2 relaxed with PBEsol.

Its uncorrected formation energy is -1.370 eV per atom. Its energy above the most stable polymorph in this dataset is 0.476 eV per atom. The calculation puts the calculated volume at 180.6 Å³ per cell.

The structure belongs to space group Fm-3m (No. 225); the cell edges are 5.652, 5.652 and 5.652 Å and the angles 90.00°, 90.00° and 90.00°. The asymmetric unit holds Ti at (0.000, 0.000, 0.000), S at (0.000, 0.000, 0.500) and F at (0.250, 0.250, 0.250).

Entry 12:
VASP calculation (SCAN) on a crystal of NiSO4 relaxed with PBEsol.

Its uncorrected formation energy is -1.547 eV per atom. The calculation puts the calculated volume at 250.1 Å³ per cell.

The structure belongs to space group Cmcm (No. 63); the cell edges are 5.139, 7.817 and 6.225 Å and the angles 90.00°, 90.00° and 90.00°. The asymmetric unit holds Ni at (0.000, 0.000, 0.000), S at (0.000, 0.351, 0.250), O at (0.000, 0.251, 0.052) and O at (0.237, 0.466, 0.250).

Entry 13:
VASP calculation (SCAN) on a crystal of BaLa2W relaxed with PBEsol.

The energy of formation is 1.077 eV/atom. Its energy above the most stable polymorph in this dataset is 0.299 eV per atom. The calculation puts the calculated volume at 221.8 Å³ per cell.

The structure belongs to space group C2/m (No. 12); the cell edges are 6.979, 11.214 and 3.168 Å and the angles 90.00°, 116.56° and 90.00°. The asymmetric unit holds Ba at (0.000, 0.000, 0.000), La at (0.250, 0.250, 0.500) and W at (0.000, 0.500, 0.000).

Entry 14:
VASP calculation (SCAN) on a crystal of AgRuIN2 relaxed with PBEsol.

Its uncorrected formation energy is 0.863 eV per atom. The calculation puts the calculated volume at 85.4 Å³ per cell.

The structure belongs to space group P4/mmm (No. 123); the cell edges are 3.829, 3.829 and 5.822 Å and the angles 90.00°, 90.00° and 90.00°. The asymmetric unit holds Ag at (0.000, 0.000, 0.000), Ru at (0.500, 0.500, 0.500), I at (0.500, 0.500, 0.000) and N at (0.000, 0.500, 0.500).

Entry 15:
VASP calculation (SCAN) on a crystal of ScTlSiMo2 relaxed with PBEsol.

Its uncorrected formation energy is 1.925 eV per atom. The calculation puts the calculated volume at 126.0 Å³ per cell.

The structure belongs to space group P4/mmm (No. 123); the cell edges are 4.993, 4.993 and 5.052 Å and the angles 90.00°, 90.00° and 90.00°. The asymmetric unit holds Sc at (0.000, 0.000, 0.000), Tl at (0.000, 0.000, 0.500), Si at (0.500, 0.500, 0.000) and Mo at (0.000, 0.500, 0.500).

Entry 16:
VASP calculation (SCAN) on a crystal of Sr4ZrSb relaxed with PBEsol.

Its uncorrected formation energy is 0.526 eV per atom. The calculation puts the calculated volume at 870.7 Å³ per cell.

The structure belongs to space group F-43m (No. 216); the cell edges are 9.549, 9.549 and 9.549 Å and the angles 90.00°, 90.00° and 90.00°. The asymmetric unit holds Sr at (0.125, 0.125, 0.125), Zr at (0.000, 0.000, 0.500) and Sb at (0.250, 0.250, 0.750).

Entry 17:
VASP calculation (SCAN) on a crystal of NbOsSeBr2 relaxed with PBEsol.

Its uncorrected formation energy is 0.999 eV per atom. The calculation puts the calculated volume at 118.7 Å³ per cell.

The structure belongs to space group P4/mmm (No. 123); the cell edges are 5.058, 5.058 and 4.639 Å and the angles 90.00°, 90.00° and 90.00°. The asymmetric unit holds Nb at (0.000, 0.000, 0.000), Os at (0.500, 0.500, 0.500), Se at (0.500, 0.500, 0.000) and Br at (0.000, 0.500, 0.500).

Entry 18:
VASP calculation (SCAN) on a crystal of RbSO4 relaxed with PBEsol.

Its uncorrected formation energy is -1.605 eV per atom. The calculation puts the calculated volume at 387.6 Å³ per cell.

The structure belongs to space group P2_1/c (No. 14); the cell edges are 7.565, 7.573 and 7.756 Å and the angles 90.00°, 119.29° and 90.00°. The asymmetric unit holds Rb at (0.250, 0.125, 0.250), S at (0.250, 0.624, 0.250), O at (0.073, 0.737, 0.125), O at (0.199, 0.511, 0.376), O at (0.300, 0.510, 0.125) and O at (0.426, 0.738, 0.374).

Entry 19:
VASP calculation (SCAN) on a crystal of Pr3Al relaxed with PBEsol.

The energy of formation is -0.195 eV/atom. Its energy above the most stable polymorph in this dataset is 0.023 eV per atom. The calculation puts the calculated volume at 114.1 Å³ per cell.

The structure belongs to space group Pm-3m (No. 221); the cell edges are 4.851, 4.851 and 4.851 Å and the angles 90.00°, 90.00° and 90.00°. The asymmetric unit holds Pr at (0.000, 0.000, 0.500) and Al at (0.500, 0.500, 0.500).

Entry 20:
VASP calculation (SCAN) on a crystal of CdPtCl relaxed with PBEsol.

Its uncorrected formation energy is 0.072 eV per atom. Its energy above the most stable polymorph in this dataset is 0.151 eV per atom. The calculation puts the calculated volume at 52.7 Å³ per cell.

The structure belongs to space group P3m1 (No. 156); the cell edges are 4.4649, 4.4649 and 3.0509 Å and the angles 90.00°, 90.00° and 120.00°. The asymmetric unit holds Cd at (0.0000, 0.0000, 0.0000), Pt at (0.3333, 0.6667, 0.4609) and Cl at (0.6667, 0.3333, 0.5366).

| no. | theoretical density (g/cm³) |
| --- | --- |
| 1 | 6.608 |
| 2 | 7.729 |
| 3 | 5.796 |
| 4 | 4.550 |
| 5 | 4.700 |
| 6 | 6.726 |
| 7 | 4.484 |
| 8 | 9.954 |
| 9 | 9.924 |
| 10 | 10.864 |
| 11 | 4.337 |
| 12 | 4.110 |
| 13 | 8.970 |
| 14 | 7.078 |
| 15 | 6.186 |
| 16 | 4.298 |
| 17 | 7.302 |
| 18 | 3.111 |
| 19 | 6.542 |
| 20 | 10.812 |